The following is a SCAN calculation of a PBEsol-optimized structure of Cd4Te3, from Alexandria.

Structure (POSCAR):
```
Cd4Te3
1.0
-2.834 -2.413 -1.917
-1.691 -0.959 3.708
-4.776 10.656 -1.785
Cd Te
4 3
Direct
0.442 0.442 0.884
0.817 0.817 0.635
0.183 0.183 0.365
0.558 0.558 0.116
0.000 0.000 0.000
0.678 0.678 0.357
0.322 0.322 0.643
```

Properties
SG   I4/mmm, No. 139
Calculated volume   200 Å³/cell
Energy   -33.509 eV per atom

The following is a SCAN calculation of a PBEsol-optimized structure of Cd3Te, from Alexandria.

Structure (POSCAR):
```
Cd3Te
1.0
-3.023 -1.156 -0.020
0.796 -2.026 -2.395
2.344 -6.233 6.054
Cd Te
3 1
Direct
0.500 0.500 0.000
0.000 0.000 0.223
0.000 0.000 0.777
0.500 0.500 0.500
```

Properties
SG   Cmmm, No. 65
Energy relative to the lowest polymorph listed for this composition   0.000 eV/atom
Calculated volume   94 Å³/cell

The following is a SCAN calculation of a PBEsol-optimized structure of Tl2CdTe, from Alexandria.

Structure (POSCAR):
```
Tl2CdTe
1.0
-1.958 2.957 -4.101
-2.134 -2.457 -4.337
-5.346 0.211 -0.879
Tl Cd Te
2 1 1
Direct
0.000 0.000 0.000
0.750 0.750 0.750
0.500 0.500 0.500
0.250 0.250 0.250
```

Properties
SG   F-43m, No. 216
Calculated volume   113 Å³/cell
Energy   -53.095 eV per atom

The following is a SCAN calculation of a PBEsol-optimized structure of TlCdTe3, from Alexandria.

Structure (POSCAR):
```
TlCdTe3
1.0
-1.601 2.567 -4.654
-4.370 -3.403 -0.373
-3.025 3.556 3.003
Te Tl Cd
3 1 1
Direct
0.000 0.500 0.000
0.500 0.000 0.000
0.000 0.000 0.500
0.500 0.500 0.500
0.000 0.000 0.000
```

Properties
SG   Pm-3m, No. 221
Calculated volume   171 Å³/cell
Energy   -42.687 eV per atom

The following is a SCAN calculation of a PBEsol-optimized structure of TlCd2Te, from Alexandria.

Structure (POSCAR):
```
TlCd2Te
1.0
3.270 0.000 0.000
0.000 4.035 0.000
0.000 0.000 7.836
Te Tl Cd
1 1 2
Direct
0.000 0.000 0.466
0.500 0.500 0.770
0.000 0.000 0.031
0.500 0.500 0.233
```

Properties
SG   Pmm2, No. 25
Energy relative to the lowest polymorph listed for this composition   0.042 eV/atom
Calculated volume   103 Å³/cell

The following is a SCAN calculation of a PBEsol-optimized structure of TlCd2Te, from Alexandria.

Structure (POSCAR):
```
TlCd2Te
1.0
-1.366 -2.223 1.494
5.467 -1.047 2.541
-3.330 5.279 2.235
Te Cd Tl
1 2 1
Direct
0.500 0.500 0.000
0.000 0.000 0.500
0.500 0.500 0.500
0.000 0.000 0.000
```

Properties
SG   C2/m, No. 12
Energy relative to the lowest polymorph listed for this composition   0.092 eV/atom
Calculated volume   105 Å³/cell